1.
Density functional theory data (PBE-GGA) for an optimized crystal structure of Cs2YAsI6.

a = 8.7999 Å, b = 8.7999 Å, c = 8.7999 Å
α = 116.54°, β = 116.54°, γ = 96.10°
Positions (direct):
Cs 0.2500 0.7500 0.5000
Cs 0.7500 0.2500 0.5000
Y 0.0000 0.0000 0.0000
As 0.5000 0.5000 0.0000
I 0.2302 0.2302 0.4604
I 0.2302 0.7698 0.0000
I 0.2613 0.2613 0.0000
I 0.7387 0.7387 0.0000
I 0.7698 0.2302 0.0000
I 0.7698 0.7698 0.5396

Properties
The symmetry is I4/mmm, No. 139. The formation energy (no corrections) comes out at -1.01 eV per atom.

2.
Density functional theory data (PBE-GGA) for an optimized crystal structure of Cs2ZrAsI6.

a = 8.6842 Å, b = 8.6842 Å, c = 8.6842 Å
α = 116.23°, β = 116.23°, γ = 96.67°
Positions (direct):
Cs 0.2500 0.7500 0.5000
Cs 0.7500 0.2500 0.5000
Zr 0.0000 0.0000 0.0000
As 0.5000 0.5000 0.0000
I 0.2242 0.2242 0.4483
I 0.2242 0.7758 0.0000
I 0.2521 0.2521 0.0000
I 0.7479 0.7479 0.0000
I 0.7758 0.2242 0.0000
I 0.7758 0.7758 0.5517

Properties
The symmetry is I4/mmm, No. 139. The formation energy (no corrections) comes out at -0.79 eV per atom.

3.
Density functional theory data (PBE-GGA) for an optimized crystal structure of Cs2InAs.

a = 11.9313 Å, b = 8.1113 Å, c = 8.7605 Å
α = 90.00°, β = 93.63°, γ = 90.00°
Positions (direct):
Cs 0.1339 0.1491 0.3231
Cs 0.1339 0.3509 0.8231
Cs 0.3468 0.6511 0.4871
Cs 0.3468 0.8489 0.9871
Cs 0.6532 0.1511 0.0129
Cs 0.6532 0.3489 0.5129
Cs 0.8661 0.6491 0.1769
Cs 0.8661 0.8509 0.6769
In 0.3861 0.1075 0.6298
In 0.3861 0.3925 0.1298
In 0.6139 0.6075 0.8702
In 0.6139 0.8925 0.3702
As 0.4309 0.1131 0.3176
As 0.4309 0.3869 0.8176
As 0.5691 0.6131 0.1824
As 0.5691 0.8869 0.6824

Properties
The symmetry is P2_1/c, No. 14. For the distance to the lowest polymorph of the same formula, the calculation gives 0.055 eV per atom. For the calculated formation energy, the calculation gives -0.272 eV/atom.

4.
Density functional theory data (PBE-GGA) for an optimized crystal structure of Cs2InAs.

a = 4.4094 Å, b = 7.6473 Å, c = 7.6473 Å
α = 44.69°, β = 90.00°, γ = 90.00°
Positions (direct):
Cs 0.0000 0.0000 0.0000
Cs 0.5000 0.3027 0.3027
In 0.5000 0.6088 0.6088
As 0.0000 0.7255 0.7255

Properties
The symmetry is Amm2, No. 38. For the distance to the lowest polymorph of the same formula, the calculation gives 0.000 eV per atom. For the calculated formation energy, the calculation gives -0.327 eV/atom.

5.
Density functional theory data (PBE-GGA) for an optimized crystal structure of Cs2In2As.

a = 7.7292 Å, b = 7.7292 Å, c = 6.4036 Å
α = 90.00°, β = 90.00°, γ = 90.00°
Positions (direct):
Cs 0.1888 0.3112 0.0000
Cs 0.3112 0.8112 0.0000
Cs 0.6888 0.1888 0.0000
Cs 0.8112 0.6888 0.0000
In 0.1351 0.6351 0.5000
In 0.3649 0.1351 0.5000
In 0.6351 0.8649 0.5000
In 0.8649 0.3649 0.5000
As 0.0000 0.0000 0.5000
As 0.5000 0.5000 0.5000

Properties
The symmetry is P4/mbm, No. 127. For the distance to the lowest polymorph of the same formula, the calculation gives 0.134 eV per atom. For the calculated formation energy, the calculation gives -0.076 eV/atom.

6.
Density functional theory data (PBE-GGA) for an optimized crystal structure of Cs3In4As4.

a = 4.4422 Å, b = 6.6530 Å, c = 13.7372 Å
α = 98.59°, β = 99.30°, γ = 90.08°
Positions (direct):
Cs 0.0000 0.0000 0.0000
Cs 0.3480 0.9282 0.6943
Cs 0.6520 0.0718 0.3057
In 0.2030 0.5729 0.4052
In 0.4459 0.4344 0.8923
In 0.5541 0.5656 0.1077
In 0.7970 0.4271 0.5948
As 0.1015 0.4618 0.2030
As 0.2543 0.2442 0.5100
As 0.7457 0.7558 0.4900
As 0.8985 0.5382 0.7970

Properties
The symmetry is P-1, No. 2. For the calculated formation energy, the calculation gives -0.304 eV/atom.